Material: CaNiPd2
Method: DFT, GGA-PBE
State: optimized geometry

Computed properties:
* symmetry: I-42d (122)
* final energy: -4.5452 eV per atom
* ΔE to the lowest computed polymorph: 271 meV/atom

Cell lengths 4.0240, 4.0240, 9.5484 Å; angles 77.84, 77.84, 90.00 degrees
Positions (direct):
Ni1 0.0000 0.0000 0.0000
Ni2 0.7500 0.2500 0.5000
Ca1 0.5000 0.5000 0.0000
Ca2 0.2500 0.7500 0.5000
Pd1 0.6577 0.1250 0.2500
Pd2 0.0923 0.6250 0.2500
Pd3 0.3750 0.3423 0.7500
Pd4 0.8750 0.9077 0.7500

Material: Ca6Ni2Pd
Method: DFT, GGA-PBE
State: optimized geometry

Computed properties:
* symmetry: Immm (71)
* final energy: -3.4065 eV per atom

Cell lengths 8.5902, 8.5902, 8.5902 Å; angles 105.63, 110.51, 112.35 degrees
Positions (direct):
Ca1 0.4644 0.2842 0.1802
Ca2 0.5356 0.7158 0.8198
Ca3 0.8961 0.7158 0.1802
Ca4 0.1039 0.2842 0.8198
Ca5 0.1948 0.7690 0.9639
Ca6 0.8052 0.2310 0.0361
Ca7 0.8052 0.7690 0.5742
Ca8 0.1948 0.2310 0.4258
Ca9 0.3038 0.9767 0.6729
Ca10 0.6962 0.0233 0.3271
Ca11 0.6962 0.3691 0.6729
Ca12 0.3038 0.6309 0.3271
Ni1 0.5000 0.3873 0.8873
Ni2 0.5000 0.6127 0.1127
Ni3 0.3741 0.0000 0.3741
Ni4 0.6259 0.0000 0.6259
Pd1 0.0000 0.5000 0.5000
Pd2 0.0000 0.0000 0.0000

Material: Ca8NiPd2
Method: DFT, GGA-PBE
State: optimized geometry

Computed properties:
* symmetry: Cm (8)
* final energy: -3.1967 eV per atom

Cell lengths 6.3426, 7.8470, 7.8470 Å; angles 112.20, 100.87, 100.87 degrees
Positions (direct):
Ca1 0.5717 0.3408 0.0799
Ca2 0.5717 0.0799 0.3408
Ca3 0.1791 0.3589 0.3589
Ca4 0.9783 0.2032 0.7905
Ca5 0.9783 0.7905 0.2032
Ca6 0.8010 0.6490 0.6490
Ca7 0.3680 0.9277 0.6634
Ca8 0.3680 0.6634 0.9277
Ni1 0.1900 0.9982 0.9982
Pd1 0.4967 0.6966 0.3258
Pd2 0.4967 0.3258 0.6966

Material: Ca2Ni2Pd
Method: DFT, GGA-PBE
State: optimized geometry

Computed properties:
* symmetry: I4/mmm (139)
* final energy: -4.1567 eV per atom
* ΔE to the lowest computed polymorph: 236 meV/atom

Cell lengths 5.4342, 5.4342, 5.2562 Å; angles 58.87, 58.87, 90.00 degrees
Positions (direct):
Ni1 0.3447 0.3447 0.3106
Ni2 0.6553 0.6553 0.6894
Ca1 0.7500 0.2500 0.5000
Ca2 0.2500 0.7500 0.5000
Pd1 0.0000 0.0000 0.0000

no.,ρ (g cm⁻³),calculated formation energy (meV/atom)
1,7.012,-3
2,3.171,-210
3,2.890,-271
4,4.766,-5